Material: Tb3SmRu3
Method: DFT, GGA-PBE
State: relaxed

a b c (Å): 5.8885 5.8885 5.8885
angles (deg): 109.54 109.54 109.54
Positions (direct):
Tb: 0.1953 0.1953 0.6094
Tb: 0.1953 0.6093 0.1953
Tb: 0.6093 0.1953 0.1953
Sm: 0.7821 0.7821 0.7821
Ru: 0.1951 0.6945 0.6945
Ru: 0.6945 0.1951 0.6945
Ru: 0.6945 0.6945 0.1951

Properties
DFT formation energy ... -0.31 eV per atom
Space-group type ... R3m
M_tot ... 0.00 μB per formula unit
Raw total energy ... -48.59 eV for the cell shown